[1]
Below is a relaxed Ba2CdPd3Pb4 crystal, with properties calculated at the PBE level.

```
data_Ba2CdPd3Pb4
_chemical_formula_sum 'Ba2 Cd1 Pd3 Pb4'
_space_group_name_H-M_alt 'P 1'
_space_group_IT_number 1
_space_group_name_Hall 'P 1'
_cell_length_a 4.931
_cell_length_b 4.931
_cell_length_c 11.448
_cell_angle_alpha 90.00
_cell_angle_beta 90.00
_cell_angle_gamma 90.00
loop_
_atom_site_label
_atom_site_fract_x
_atom_site_fract_y
_atom_site_fract_z
Ba1 0.500 0.000 0.251
Ba2 0.000 0.500 0.749
Cd1 0.500 0.500 0.500
Pd1 0.000 0.000 0.500
Pd2 0.500 0.000 0.877
Pd3 0.000 0.500 0.123
Pb1 0.500 0.500 0.000
Pb2 0.000 0.000 0.000
Pb3 0.500 0.000 0.636
Pb4 0.000 0.500 0.364
```

Calculated values
raw total energy	-3.967	eV/atom
symmetry	P-4m2, No. 115

---

[2]
Below is a relaxed Li2Mg2In crystal, with properties calculated at the PBE level.

```
data_Li2Mg2In
_chemical_formula_sum 'Li4 Mg4 In2'
_space_group_name_H-M_alt 'P 1'
_space_group_IT_number 1
_space_group_name_Hall 'P 1'
_cell_length_a 4.944
_cell_length_b 5.395
_cell_length_c 8.139
_cell_angle_alpha 109.09
_cell_angle_beta 90.00
_cell_angle_gamma 90.00
loop_
_atom_site_label
_atom_site_fract_x
_atom_site_fract_y
_atom_site_fract_z
Li1 0.750 0.133 0.111
Li2 0.250 0.867 0.889
Li3 0.750 0.339 0.501
Li4 0.250 0.661 0.499
Mg1 0.750 0.942 0.694
Mg2 0.250 0.058 0.306
Mg3 0.750 0.554 0.901
Mg4 0.250 0.446 0.099
In1 0.750 0.718 0.298
In2 0.250 0.282 0.702
```

Calculated values
raw total energy	-2.116	eV/atom
symmetry	P2_1/m, No. 11

---

[3]
Below is a relaxed Cs12S3F5 crystal, with properties calculated at the PBE level.

```
data_Cs12S3F5
_chemical_formula_sum 'Cs48 S12 F20'
_space_group_name_H-M_alt 'P 1'
_space_group_IT_number 1
_space_group_name_Hall 'P 1'
_cell_length_a 16.305
_cell_length_b 16.305
_cell_length_c 16.305
_cell_angle_alpha 109.47
_cell_angle_beta 109.47
_cell_angle_gamma 109.47
loop_
_atom_site_label
_atom_site_fract_x
_atom_site_fract_y
_atom_site_fract_z
S1 0.750 0.375 0.125
S2 0.875 0.750 0.125
S3 0.375 0.750 0.625
S4 0.250 0.125 0.375
S5 0.875 0.125 0.250
S6 0.375 0.625 0.250
S7 0.625 0.375 0.750
S8 0.125 0.875 0.750
S9 0.750 0.875 0.625
S10 0.625 0.250 0.375
S11 0.125 0.250 0.875
S12 0.250 0.625 0.875
F1 0.125 0.375 0.250
F2 0.000 0.500 0.000
F3 0.000 0.000 0.000
F4 0.375 0.250 0.125
F5 0.500 0.000 0.500
F6 0.500 0.500 0.000
F7 0.125 0.750 0.375
F8 0.750 0.125 0.875
F9 0.750 0.625 0.375
F10 0.375 0.125 0.750
F11 0.625 0.875 0.250
F12 0.500 0.500 0.500
F13 0.500 0.000 0.000
F14 0.000 0.000 0.500
F15 0.250 0.375 0.625
F16 0.250 0.875 0.125
F17 0.000 0.500 0.500
F18 0.875 0.250 0.625
F19 0.625 0.750 0.875
F20 0.875 0.625 0.750
Cs1 0.711 0.128 0.033
Cs2 0.322 0.533 0.405
Cs3 0.967 0.372 0.289
Cs4 0.533 0.211 0.128
Cs5 0.583 0.711 0.678
Cs6 0.967 0.595 0.178
Cs7 0.322 0.789 0.417
Cs8 0.095 0.917 0.128
Cs9 0.595 0.967 0.678
Cs10 0.711 0.583 0.178
Cs11 0.789 0.467 0.372
Cs12 0.822 0.905 0.033
Cs13 0.128 0.711 0.533
Cs14 0.372 0.405 0.083
Cs15 0.083 0.905 0.372
Cs16 0.417 0.128 0.595
Cs17 0.083 0.178 0.211
Cs18 0.467 0.678 0.095
Cs19 0.822 0.917 0.289
Cs20 0.128 0.417 0.095
Cs21 0.372 0.967 0.789
Cs22 0.595 0.628 0.417
Cs23 0.905 0.822 0.533
Cs24 0.789 0.322 0.917
Cs25 0.405 0.372 0.583
Cs26 0.095 0.178 0.467
Cs27 0.211 0.678 0.083
Cs28 0.178 0.083 0.711
Cs29 0.628 0.033 0.211
Cs30 0.872 0.583 0.905
Cs31 0.533 0.322 0.905
Cs32 0.583 0.872 0.405
Cs33 0.917 0.822 0.789
Cs34 0.917 0.095 0.628
Cs35 0.872 0.289 0.467
Cs36 0.178 0.095 0.967
Cs37 0.628 0.595 0.917
Cs38 0.405 0.033 0.322
Cs39 0.289 0.417 0.822
Cs40 0.211 0.533 0.628
Cs41 0.905 0.083 0.872
Cs42 0.678 0.211 0.583
Cs43 0.467 0.789 0.872
Cs44 0.033 0.405 0.822
Cs45 0.417 0.289 0.322
Cs46 0.033 0.628 0.711
Cs47 0.678 0.467 0.595
Cs48 0.289 0.872 0.967
```

Calculated values
raw total energy	-3.324	eV/atom
symmetry	Ia-3d, No. 230
uncorrected formation energy	-1.725	eV per atom

---

[4]
Below is a relaxed Tb2GaCuSe5 crystal, with properties calculated at the PBE level.

```
data_Tb2GaCuSe5
_chemical_formula_sum 'Tb4 Ga2 Cu2 Se10'
_space_group_name_H-M_alt 'P 1'
_space_group_IT_number 1
_space_group_name_Hall 'P 1'
_cell_length_a 3.981
_cell_length_b 9.316
_cell_length_c 11.550
_cell_angle_alpha 90.00
_cell_angle_beta 90.00
_cell_angle_gamma 102.34
loop_
_atom_site_label
_atom_site_fract_x
_atom_site_fract_y
_atom_site_fract_z
Tb1 0.877 0.755 0.791
Tb2 0.109 0.217 0.671
Tb3 0.123 0.245 0.291
Tb4 0.891 0.783 0.171
Ga1 0.589 0.178 0.962
Ga2 0.411 0.822 0.462
Cu1 0.741 0.483 0.611
Cu2 0.259 0.517 0.111
Se1 0.362 0.723 0.986
Se2 0.689 0.378 0.819
Se3 0.503 0.007 0.783
Se4 0.310 0.621 0.639
Se5 0.959 0.919 0.563
Se6 0.638 0.277 0.486
Se7 0.311 0.622 0.319
Se8 0.497 0.993 0.283
Se9 0.690 0.379 0.139
Se10 0.041 0.081 0.063
```

Calculated values
raw total energy	-4.935	eV/atom
symmetry	Cmc2_1, No. 36
uncorrected formation energy	-1.179	eV per atom

---

[5]
Below is a relaxed Na2DyHg6 crystal, with properties calculated at the PBE level.

```
data_Na2DyHg6
_chemical_formula_sum 'Na2 Dy1 Hg6'
_space_group_name_H-M_alt 'P 1'
_space_group_IT_number 1
_space_group_name_Hall 'P 1'
_cell_length_a 3.336
_cell_length_b 8.775
_cell_length_c 8.775
_cell_angle_alpha 60.01
_cell_angle_beta 90.02
_cell_angle_gamma 90.02
loop_
_atom_site_label
_atom_site_fract_x
_atom_site_fract_y
_atom_site_fract_z
Na1 0.000 0.333 0.333
Na2 0.000 0.667 0.667
Dy1 0.000 0.000 0.000
Hg1 0.499 0.665 0.000
Hg2 0.501 0.000 0.335
Hg3 0.501 0.335 0.000
Hg4 0.500 0.665 0.335
Hg5 0.499 0.000 0.665
Hg6 0.500 0.335 0.665
```

Calculated values
raw total energy	-1.262	eV/atom
symmetry	P6/mmm, No. 191

---

[6]
Below is a relaxed SrZr2As crystal, with properties calculated at the PBE level.

```
data_SrZr2As
_chemical_formula_sum 'Sr1 Zr2 As1'
_space_group_name_H-M_alt 'P 1'
_space_group_IT_number 1
_space_group_name_Hall 'P 1'
_cell_length_a 3.402
_cell_length_b 3.402
_cell_length_c 9.458
_cell_angle_alpha 90.00
_cell_angle_beta 90.00
_cell_angle_gamma 104.56
loop_
_atom_site_label
_atom_site_fract_x
_atom_site_fract_y
_atom_site_fract_z
Sr1 0.500 0.500 0.750
As1 0.500 0.500 0.250
Zr1 0.000 0.000 0.071
Zr2 0.000 0.000 0.429
```

Calculated values
raw total energy	-5.996	eV/atom
symmetry	Cmmm, No. 65

---

[7]
Below is a relaxed Ca6PbO8 crystal, with properties calculated at the PBE level.

```
data_Ca6PbO8
_chemical_formula_sum 'Ca6 Pb1 O8'
_space_group_name_H-M_alt 'P 1'
_space_group_IT_number 1
_space_group_name_Hall 'P 1'
_cell_length_a 6.848
_cell_length_b 6.848
_cell_length_c 6.848
_cell_angle_alpha 60.00
_cell_angle_beta 60.00
_cell_angle_gamma 60.00
loop_
_atom_site_label
_atom_site_fract_x
_atom_site_fract_y
_atom_site_fract_z
Ca1 0.000 0.500 0.500
Ca2 0.500 0.000 0.000
Ca3 0.500 0.500 0.000
Ca4 0.000 0.000 0.500
Ca5 0.000 0.500 0.000
Ca6 0.500 0.000 0.500
Pb1 0.000 0.000 0.000
O1 0.750 0.750 0.750
O2 0.250 0.250 0.250
O3 0.770 0.230 0.230
O4 0.230 0.770 0.770
O5 0.230 0.230 0.770
O6 0.770 0.770 0.230
O7 0.770 0.230 0.770
O8 0.230 0.770 0.230
```

Calculated values
raw total energy	-6.260	eV/atom
symmetry	Fm-3m, No. 225
uncorrected formation energy	-2.568	eV per atom

---

[8]
Below is a relaxed P3C crystal, with properties calculated at the PBE level.

```
data_P3C
_chemical_formula_sum 'P6 C2'
_space_group_name_H-M_alt 'P 1'
_space_group_IT_number 1
_space_group_name_Hall 'P 1'
_cell_length_a 2.911
_cell_length_b 6.221
_cell_length_c 7.884
_cell_angle_alpha 90.00
_cell_angle_beta 90.00
_cell_angle_gamma 90.00
loop_
_atom_site_label
_atom_site_fract_x
_atom_site_fract_y
_atom_site_fract_z
P1 0.500 0.000 0.560
P2 0.000 0.500 0.440
P3 0.000 0.767 0.261
P4 0.000 0.233 0.261
P5 0.500 0.267 0.739
P6 0.500 0.733 0.739
C1 0.000 0.000 0.414
C2 0.500 0.500 0.586
```

Calculated values
raw total energy	-5.955	eV/atom
symmetry	Pmmn, No. 59